1.
A relaxed CeTh2Os crystal. Source: the Alexandria database, functional PBE-GGA.

Cell and atoms, written as POSCAR:
```
CeTh2Os
1.0
4.3338 0.0000 0.0000
0.0000 8.4919 0.7571
0.0000 -3.6528 5.7220
Ce Th Os
2 4 2
Direct
0.2500 0.4324 0.3580
0.7500 0.5676 0.6420
0.7500 0.0782 0.3279
0.2500 0.9218 0.6721
0.2500 0.6882 0.0626
0.7500 0.3118 0.9374
0.7500 0.7325 0.3550
0.2500 0.2675 0.6450
```

## Properties
Its density is 11854 kg/m³. The energy above the most stable polymorph in this dataset comes out at 41 meV/atom. The calculation puts the raw total energy at -8.16 eV/atom.



2.
A relaxed Ac3Zn2AgAu6 crystal. Source: the Alexandria database, functional PBE-GGA.

Cell and atoms, written as POSCAR:
```
Ac3Zn2AgAu6
1.0
-0.6947 4.5185 -4.6141
-0.8699 -6.2735 -1.4407
-8.2651 0.7024 1.9322
Ac Zn Ag Au
3 2 1 6
Direct
0.3333 0.6667 0.6369
0.6667 0.3333 0.3631
0.0000 0.0000 0.0000
0.6667 0.3333 0.9720
0.3333 0.6667 0.0280
0.0000 0.0000 0.5000
0.6303 0.8152 0.2811
0.1848 0.3697 0.2811
0.1848 0.8152 0.2811
0.8152 0.6303 0.7189
0.3697 0.1848 0.7189
0.8152 0.1848 0.7189
```

## Properties
Its density is 11214 kg/m³. The calculation puts the raw total energy at -3.55 eV/atom.



It is found that the energy of formation values, taken in the order of the records, are -0.158; -0.434 eV/atom.